(1)
This record from Alexandria via LeMat-Bulk describes a PBEsol-optimized structure of LaNd3Ga4O12. The functional is meta-GGA SCAN.

## Properties
For the magnetization, the calculation gives 0.00 μB/atom. As for the formation energy without anion corrections: -59.14 eV per formula unit.

abc: 5.4350 7.7203 5.5192
angles: 90.00 90.09 90.00
Sites, in units of the cell vectors:
La: 0.0000 0.0000 0.0000
Nd: 0.4789 0.0000 0.5084
Nd: 0.5023 0.5000 0.4158
Nd: 0.9785 0.5000 0.9130
Ga: 0.4906 0.2514 0.9625
Ga: 0.4906 0.7486 0.9625
Ga: 0.9912 0.2510 0.4597
Ga: 0.9912 0.7490 0.4597
O: 0.0750 0.5000 0.4814
O: 0.2051 0.2080 0.7487
O: 0.2051 0.7920 0.7487
O: 0.2827 0.2071 0.2542
O: 0.2827 0.7929 0.2542
O: 0.4057 0.5000 0.9823
O: 0.5663 0.0000 0.9427
O: 0.7043 0.2951 0.6739
O: 0.7043 0.7049 0.6739
O: 0.7794 0.2969 0.1728
O: 0.7794 0.7031 0.1728
O: 0.9071 0.0000 0.4471

(2)
This record from Alexandria via LeMat-Bulk describes a PBEsol-optimized structure of La3NdGa4O12. The functional is meta-GGA SCAN.

## Properties
For the magnetization, the calculation gives 0.00 μB/atom. As for the formation energy without anion corrections: -59.50 eV per formula unit. The energy above the lowest structure with this stoichiometry comes out at 0 meV/atom.

abc: 5.4832 7.7540 5.5012
angles: 90.00 90.12 90.00
Sites, in units of the cell vectors:
La: 0.0000 0.0000 0.0000
La: 0.0156 0.5000 0.0644
La: 0.5155 0.0000 0.5029
Nd: 0.4980 0.5000 0.5733
Ga: 0.0080 0.2514 0.5319
Ga: 0.0080 0.7486 0.5319
Ga: 0.5085 0.2510 0.0345
Ga: 0.5085 0.7490 0.0345
O: 0.0824 0.0000 0.5450
O: 0.2296 0.2927 0.8123
O: 0.2296 0.7073 0.8123
O: 0.2929 0.2940 0.3178
O: 0.2929 0.7060 0.3178
O: 0.4331 0.0000 0.0456
O: 0.5835 0.5000 0.0137
O: 0.7265 0.2109 0.7494
O: 0.7265 0.7891 0.7494
O: 0.7919 0.2091 0.2482
O: 0.7919 0.7909 0.2482
O: 0.9249 0.5000 0.5187

(3)
This record from Alexandria via LeMat-Bulk describes a PBEsol-optimized structure of La3NdGa4O12. The functional is meta-GGA SCAN.

## Properties
For the magnetization, the calculation gives 0.00 μB/atom. As for the formation energy without anion corrections: -59.44 eV per formula unit. The energy above the lowest structure with this stoichiometry comes out at 3 meV/atom.

abc: 5.4363 5.4363 9.5614
angles: 107.04 107.04 61.01
Sites, in units of the cell vectors:
La: 0.0002 0.9998 0.0000
La: 0.2491 0.2491 0.7491
La: 0.7509 0.7509 0.2509
Nd: 0.4995 0.5005 0.5000
Ga: 0.1251 0.1254 0.3757
Ga: 0.3758 0.3752 0.1258
Ga: 0.6248 0.6242 0.8742
Ga: 0.8746 0.8749 0.6243
O: 0.2848 0.7135 0.7138
O: 0.2865 0.7152 0.2862
O: 0.3202 0.1865 0.2533
O: 0.4341 0.5659 0.0000
O: 0.4649 0.0326 0.9667
O: 0.4659 0.0313 0.5336
O: 0.7843 0.2142 0.7841
O: 0.7857 0.2157 0.2159
O: 0.8135 0.6798 0.7467
O: 0.9256 0.0744 0.5000
O: 0.9674 0.5351 0.0333
O: 0.9687 0.5341 0.4664

(4)
This record from Alexandria via LeMat-Bulk describes a PBEsol-optimized structure of LaGa3Ni. The functional is meta-GGA SCAN.

## Properties
For the magnetization, the calculation gives 0.00 μB/atom. The formation energy is -0.51 eV per atom.

abc: 4.5730 4.5730 4.5730
angles: 90.00 90.00 90.00
Sites, in units of the cell vectors:
La: 0.0000 0.0000 0.0000
Ga: 0.0000 0.5000 0.5000
Ga: 0.5000 0.0000 0.5000
Ga: 0.5000 0.5000 0.0000
Ni: 0.5000 0.5000 0.5000

(5)
This record from Alexandria via LeMat-Bulk describes a PBEsol-optimized structure of La2Ga5Ni5. The functional is meta-GGA SCAN.

## Properties
For the magnetization, the calculation gives 0.00 μB/atom. The formation energy is -0.52 eV per atom.

abc: 5.1048 6.2231 6.2231
angles: 100.65 90.00 90.00
Sites, in units of the cell vectors:
La: 0.0000 0.0000 0.0000
La: 0.5000 0.3843 0.3843
Ga: 0.2444 0.4662 0.9169
Ga: 0.2444 0.9169 0.4662
Ga: 0.5000 0.7808 0.7808
Ga: 0.7556 0.4662 0.9169
Ga: 0.7556 0.9169 0.4662
Ni: 0.0000 0.2430 0.6037
Ni: 0.0000 0.6037 0.2430
Ni: 0.0000 0.6414 0.6414
Ni: 0.5000 0.1555 0.7618
Ni: 0.5000 0.7618 0.1555

(6)
This record from Alexandria via LeMat-Bulk describes a PBEsol-optimized structure of LaGa2Ni3. The functional is meta-GGA SCAN.

## Properties
For the magnetization, the calculation gives 0.00 μB/atom. The formation energy is -0.53 eV per atom.

abc: 8.8265 8.8265 4.0941
angles: 90.00 90.00 120.00
Sites, in units of the cell vectors:
La: 0.0000 0.0000 0.0000
La: 0.3333 0.6667 0.5000
La: 0.6667 0.3333 0.5000
Ga: 0.0000 0.4739 0.0000
Ga: 0.0000 0.7246 0.5000
Ga: 0.2754 0.2754 0.5000
Ga: 0.4739 0.0000 0.0000
Ga: 0.5261 0.5261 0.0000
Ga: 0.7246 0.0000 0.5000
Ni: 0.0000 0.2901 0.5000
Ni: 0.1683 0.7978 0.0000
Ni: 0.2022 0.3705 0.0000
Ni: 0.2901 0.0000 0.5000
Ni: 0.3705 0.2022 0.0000
Ni: 0.6295 0.8317 0.0000
Ni: 0.7099 0.7099 0.5000
Ni: 0.7978 0.1683 0.0000
Ni: 0.8317 0.6295 0.0000

> Which formula does entry 2 have?

La3NdGa4O12

Repeat the second record exactly.
This record from Alexandria via LeMat-Bulk describes a PBEsol-optimized structure of La3NdGa4O12. The functional is meta-GGA SCAN.

## Properties
For the magnetization, the calculation gives 0.00 μB/atom. As for the formation energy without anion corrections: -59.50 eV per formula unit. The energy above the lowest structure with this stoichiometry comes out at 0 meV/atom.

abc: 5.4832 7.7540 5.5012
angles: 90.00 90.12 90.00
Sites, in units of the cell vectors:
La: 0.0000 0.0000 0.0000
La: 0.0156 0.5000 0.0644
La: 0.5155 0.0000 0.5029
Nd: 0.4980 0.5000 0.5733
Ga: 0.0080 0.2514 0.5319
Ga: 0.0080 0.7486 0.5319
Ga: 0.5085 0.2510 0.0345
Ga: 0.5085 0.7490 0.0345
O: 0.0824 0.0000 0.5450
O: 0.2296 0.2927 0.8123
O: 0.2296 0.7073 0.8123
O: 0.2929 0.2940 0.3178
O: 0.2929 0.7060 0.3178
O: 0.4331 0.0000 0.0456
O: 0.5835 0.5000 0.0137
O: 0.7265 0.2109 0.7494
O: 0.7265 0.7891 0.7494
O: 0.7919 0.2091 0.2482
O: 0.7919 0.7909 0.2482
O: 0.9249 0.5000 0.5187